LiAl2Hg: optimized geometry, PBEsol.

abc: 5.705 5.705 2.977
angles: 104.89 104.89 121.22
Element x y z (fractional)
Li 0.000 0.000 0.000
Al 0.000 0.500 0.000
Al 0.500 0.000 0.000
Hg 0.500 0.500 0.000

Properties
crystal system = monoclinic
DOS at the Fermi energy = 1.32 states/eV/cell

=====

LiAl2Hg: optimized geometry, PBEsol.

abc: 9.208 9.208 9.208
angles: 19.10 19.10 19.10
Element x y z (fractional)
Li 0.000 0.000 0.000
Al 0.252 0.252 0.252
Al 0.748 0.748 0.748
Hg 0.500 0.500 0.500

Properties
crystal system = trigonal
DOS at the Fermi energy = 1.06 states/eV/cell

=====

Mg2AlHg: optimized geometry, PBEsol.

abc: 5.137 5.137 3.136
angles: 90.00 90.00 108.36
Element x y z (fractional)
Mg 0.000 0.500 0.000
Mg 0.500 0.000 0.000
Al 0.000 0.000 0.500
Hg 0.500 0.500 0.500

Properties
crystal system = orthorhombic
offset from the most stable computed form = 0 meV per atom
DOS at the Fermi energy = 1.41 states/eV/cell

=====

Mg2AlHg: optimized geometry, PBEsol.

abc: 4.836 4.836 4.836
angles: 60.00 60.00 60.00
Element x y z (fractional)
Mg 0.000 0.000 0.000
Mg 0.250 0.250 0.250
Al 0.750 0.750 0.750
Hg 0.500 0.500 0.500

Properties
crystal system = cubic
offset from the most stable computed form = 125 meV per atom
DOS at the Fermi energy = 1.56 states/eV/cell

=====

Mg2AlHg: optimized geometry, PBEsol.

abc: 5.154 5.154 5.154
angles: 129.99 129.99 73.43
Element x y z (fractional)
Mg 0.250 0.750 0.500
Mg 0.750 0.250 0.500
Al 0.000 0.000 0.000
Hg 0.500 0.500 0.000

Properties
crystal system = tetragonal
offset from the most stable computed form = 10 meV per atom
DOS at the Fermi energy = 1.58 states/eV/cell

=====

MgAl2Hg: optimized geometry, PBEsol.

abc: 5.125 5.125 3.141
angles: 90.00 90.00 112.93
Element x y z (fractional)
Mg 0.000 0.000 0.000
Al 0.000 0.500 0.500
Al 0.500 0.000 0.500
Hg 0.500 0.500 0.000

Properties
crystal system = orthorhombic
offset from the most stable computed form = 24 meV per atom
DOS at the Fermi energy = 1.45 states/eV/cell

=====

no.,raw total energy (eV/atom),calculated volume (Å³/atom),DFT formation energy (meV/atom)
1,-2.7554,17.6,-76
2,-2.6519,18.3,27
3,-2.1450,19.6,-122
4,-2.0200,20.0,3
5,-2.1353,19.6,-112
6,-2.6031,19.0,14